CaTl3Fe (GGA-PBE, optimized geometry); symmetry = Pm-3m; energy = -0.1245 hartree per atom; energy above the most stable polymorph in this dataset = 0 meV per atom; energy of formation = 125 meV per atom
1.0
-3.609 -2.083 3.056
0.263 -4.404 -2.691
3.689 -1.723 3.182
Tl Ca Fe
3 1 1
Direct
0.500 0.000 0.000
0.000 0.500 0.000
0.000 0.000 0.500
0.500 0.500 0.500
0.000 0.000 0.000